Entry from Alexandria via LeMat-Bulk: crystalline TbSmI2 at its relaxed geometry (PBE-GGA).

Properties
* energy relative to the lowest polymorph listed for this composition: 0 meV per atom
* Fermi-level density of states: 1.7 states/eV per cell
* space-group type: R3m (160)
* final energy: -3.882 eV/atom
* uncorrected formation energy: -0.7696 eV/atom

a = 3.832 Å, b = 3.832 Å, c = 9.856 Å
α = 78.79°, β = 78.79°, γ = 60.00°
Fractional positions:
Tb 0.502 0.502 0.494
Sm 0.665 0.665 0.006
I 0.085 0.085 0.745
I 0.248 0.248 0.255